--- a ---
VASP calculation (PBE) on an optimized crystal structure of KRb2YBr6.

Lattice parameters (Å, degrees): 8.0764 8.5222 11.5491 90.00 89.17 90.00
Closest atoms and distances in Å follow each position.
Fractional coordinates of all 20 atoms:
Rb 0.9735 0.0724 0.7459  6 Br 3.49-3.74
Rb 0.5265 0.5724 0.7541  6 Br 3.49-3.74
Rb 0.4735 0.4276 0.2459  6 Br 3.49-3.74
Rb 0.0265 0.9276 0.2541  6 Br 3.49-3.74
Br 0.6734 0.2752 0.5622  1 Y 2.83
Br 0.8266 0.7752 0.9378  1 Y 2.83
Br 0.2186 0.1817 0.4496  1 Y 2.82
Br 0.6115 0.0386 0.2698  1 Y 2.81
Br 0.7186 0.3183 0.9496  1 Y 2.82
Br 0.1115 0.4614 0.7698  1 Y 2.81
Br 0.3266 0.7248 0.4378  1 Y 2.83
Br 0.8885 0.5386 0.2302  1 Y 2.81
Br 0.3885 0.9614 0.7302  1 Y 2.81
Br 0.1734 0.2248 0.0622  1 Y 2.83
Br 0.2814 0.6817 0.0504  1 Y 2.82
Br 0.7814 0.8183 0.5504  1 Y 2.82
Y 0.5000 0.0000 0.5000  6 Br 2.81-2.83
Y 0.0000 0.5000 0.0000  6 Br 2.81-2.83
K 0.5000 0.0000 0.0000  6 Br 3.27-3.33
K 0.0000 0.5000 0.5000  6 Br 3.27-3.33


--- b ---
VASP calculation (PBE) on an optimized crystal structure of KRb2YBr6.

Lattice parameters (Å, degrees): 8.3864 8.3864 8.3863 60.00 60.00 90.00
Closest atoms and distances in Å follow each position.
Fractional coordinates of all 10 atoms:
Br 0.2355 0.7645 0.0000  1 Y 2.79
Br 0.2355 0.2355 0.0000  1 Y 2.79
Br 0.7645 0.2355 0.0000  1 Y 2.79
Br 0.2355 0.2355 0.5290  1 Y 2.79
Br 0.7645 0.7645 0.4710  1 Y 2.79
Br 0.7645 0.7645 0.0000  1 Y 2.79
Y 0.0000 0.0000 0.0000  6 Br 2.79
Rb 0.7500 0.2500 0.5000  12 Br 4.20
Rb 0.2500 0.7500 0.5000  12 Br 4.20
K 0.5000 0.5000 0.0000  6 Br 3.14


Quick one: least stable of them? b


--- a ---
VASP calculation (PBE) on an optimized crystal structure of KRe2Br.

Lattice parameters (Å, degrees): 3.1583 3.1583 8.8007 90.00 90.00 90.00
Closest atoms and distances in Å follow each position.
Fractional coordinates of all 4 atoms:
K 0.5000 0.5000 0.7364  4 K 3.16, 4 Br 3.18
Br 0.0000 0.0000 0.4794  4 Br 3.16, 4 K 3.18, 4 Re 3.24
Re 0.0000 0.0000 0.0710  4 Re 2.56
Re 0.5000 0.5000 0.2132  4 Re 2.56


--- b ---
VASP calculation (PBE) on an optimized crystal structure of KRe2Br.

Lattice parameters (Å, degrees): 2.6359 6.5788 6.0017 90.00 90.00 90.00
Closest atoms and distances in Å follow each position.
Fractional coordinates of all 4 atoms:
Br 0.5000 0.5000 0.2500  2 Br 2.64
Re 0.0000 0.0000 0.5615  1 Re 2.26
Re 0.0000 0.0000 0.9385  1 Re 2.26
K 0.5000 0.5000 0.7500  2 K 2.64


Quick one: least stable of them? b